1.
VASP calculation (PBE) on an optimized crystal structure of Tb8Tm6Zr.

```
Tb8Tm6Zr
1.0
5.748 0.000 0.000
0.000 8.403 -4.852
0.000 0.000 9.703
Tb Tm Zr
8 6 1
direct
0.764 0.051 0.271 Tb
0.764 0.729 0.780 Tb
0.764 0.220 0.949 Tb
0.236 0.949 0.729 Tb
0.236 0.271 0.220 Tb
0.236 0.780 0.051 Tb
0.763 0.333 0.667 Tb
0.237 0.667 0.333 Tb
0.748 0.619 0.093 Tm
0.748 0.907 0.526 Tm
0.748 0.474 0.381 Tm
0.252 0.381 0.907 Tm
0.252 0.093 0.474 Tm
0.252 0.526 0.619 Tm
0.500 0.000 0.000 Zr
```

Values from the calculation:
Space-group type ... P-3, No. 147
Calculated formation energy ... 157 meV/atom


2.
VASP calculation (PBE) on an optimized crystal structure of Dy2ErScAs4.

```
Dy2ErScAs4
1.0
4.057 0.000 0.000
0.000 7.018 0.122
0.000 -2.455 6.573
Dy Er Sc As
2 1 1 4
direct
0.500 0.000 0.500 Dy
0.000 0.500 0.500 Dy
0.500 0.500 0.000 Er
0.000 0.000 0.000 Sc
0.500 0.241 0.240 As
0.500 0.759 0.760 As
0.000 0.247 0.756 As
0.000 0.753 0.244 As
```

Values from the calculation:
Space-group type ... P2/m, No. 10
Calculated formation energy ... -1479 meV/atom


3.
VASP calculation (PBE) on an optimized crystal structure of KCd4HgAu2.

```
KCd4HgAu2
1.0
-3.631 -3.020 0.639
0.129 -4.334 -1.977
3.597 -6.320 8.348
K Cd Hg Au
1 4 1 2
direct
0.000 0.000 0.000 K
0.406 0.406 0.783 Cd
0.879 0.879 0.363 Cd
0.121 0.121 0.637 Cd
0.594 0.594 0.217 Cd
0.500 0.500 0.500 Hg
0.750 0.750 0.749 Au
0.250 0.250 0.251 Au
```

Values from the calculation:
Space-group type ... R-3m, No. 166
Calculated formation energy ... -113 meV/atom


4.
VASP calculation (PBE) on an optimized crystal structure of K4Ce3BiS8.

```
K4Ce3BiS8
1.0
8.424 0.000 0.000
0.000 8.822 0.272
-4.212 -4.207 5.958
K Ce Bi S
4 3 1 8
direct
0.500 0.000 0.000 K
0.500 0.000 0.500 K
0.000 0.000 0.000 K
0.000 0.000 0.500 K
0.500 0.500 0.000 Ce
0.500 0.500 0.500 Ce
0.000 0.500 0.500 Ce
0.000 0.500 0.000 Bi
0.236 0.707 0.971 S
0.236 0.707 0.472 S
0.265 0.294 0.529 S
0.735 0.707 0.971 S
0.265 0.293 0.029 S
0.735 0.706 0.471 S
0.764 0.293 0.528 S
0.764 0.293 0.029 S
```

Values from the calculation:
Raw formation energy ... -1.543 eV/atom
Space-group type ... R-3m, No. 166


5.
VASP calculation (PBE) on an optimized crystal structure of Tc2IrOs.

```
Tc2IrOs
1.0
-0.237 1.546 8.949
-1.333 -0.959 8.935
1.385 -0.656 8.955
Ir Os Tc
1 1 2
direct
0.500 0.500 0.500 Ir
0.750 0.750 0.750 Os
0.000 0.000 0.000 Tc
0.250 0.250 0.250 Tc
```

Values from the calculation:
Space-group type ... R3m, No. 160
Calculated formation energy ... 3 meV/atom


6.
VASP calculation (PBE) on an optimized crystal structure of Sc2Cd3Au4.

```
Sc2Cd3Au4
1.0
4.779 0.001 0.001
2.389 4.118 0.138
-0.002 -0.363 8.999
Sc Cd Au
2 3 4
direct
0.334 0.333 0.786 Sc
0.666 0.667 0.214 Sc
0.333 0.334 0.430 Cd
0.000 0.000 0.000 Cd
0.667 0.666 0.570 Cd
0.667 0.666 0.894 Au
0.999 0.001 0.335 Au
0.001 0.999 0.665 Au
0.333 0.334 0.106 Au
```

Values from the calculation:
Space-group type ... C2/m, No. 12
Calculated formation energy ... -487 meV/atom


7.
VASP calculation (PBE) on an optimized crystal structure of Pa3GaCo2.

```
Pa3GaCo2
1.0
6.768 0.266 0.207
2.440 6.318 0.207
2.440 1.745 6.076
Pa Ga Co
6 2 4
direct
0.447 0.053 0.750 Pa
0.053 0.750 0.447 Pa
0.750 0.447 0.053 Pa
0.553 0.947 0.250 Pa
0.947 0.250 0.553 Pa
0.250 0.553 0.947 Pa
0.500 0.500 0.500 Ga
0.000 0.000 0.000 Ga
0.338 0.338 0.338 Co
0.162 0.162 0.162 Co
0.838 0.838 0.838 Co
0.662 0.662 0.662 Co
```

Values from the calculation:
Space-group type ... R-3c, No. 167
Calculated formation energy ... -122 meV/atom


8.
VASP calculation (PBE) on an optimized crystal structure of Ce6Te3PS2.

```
Ce6Te3PS2
1.0
-6.195 -1.675 -3.431
5.213 -5.021 0.755
-2.566 0.165 7.125
Ce Te P S
6 3 1 2
direct
0.929 0.597 0.788 Ce
0.738 0.738 0.212 Ce
0.071 0.403 0.212 Ce
0.597 0.929 0.788 Ce
0.262 0.262 0.788 Ce
0.403 0.071 0.212 Ce
0.166 0.834 0.500 Te
0.834 0.166 0.500 Te
0.500 0.500 0.500 Te
0.000 0.000 0.000 P
0.333 0.667 0.000 S
0.667 0.333 0.000 S
```

Values from the calculation:
Raw formation energy ... -1.619 eV/atom
Space-group type ... C2/m, No. 12


9.
VASP calculation (PBE) on an optimized crystal structure of AsPt3Au.

```
AsPt3Au
1.0
-4.418 -1.394 -0.407
1.180 -4.206 1.597
-0.847 1.414 4.349
As Au Pt
1 1 3
direct
0.000 0.000 0.000 As
0.500 0.500 0.500 Au
0.000 0.500 0.000 Pt
0.000 0.000 0.500 Pt
0.500 0.000 0.000 Pt
```

Values from the calculation:
Space-group type ... Pm-3m, No. 221
Calculated formation energy ... 506 meV/atom


10.
VASP calculation (PBE) on an optimized crystal structure of HoErBeHg.

```
HoErBeHg
1.0
5.058 0.000 0.000
2.529 4.380 0.000
2.529 1.460 4.130
Ho Be Hg Er
1 1 1 1
direct
0.250 0.250 0.250 Ho
0.000 0.000 0.000 Be
0.500 0.500 0.500 Hg
0.750 0.750 0.750 Er
```

Values from the calculation:
Space-group type ... F-43m, No. 216
Calculated formation energy ... -129 meV/atom


11.
VASP calculation (PBE) on an optimized crystal structure of Be2Al2Zn.

```
Be2Al2Zn
1.0
-1.064 -7.392 -0.853
3.469 -1.255 6.549
-2.185 0.177 1.191
Be Zn Al
4 2 4
direct
0.163 0.663 0.500 Be
0.663 0.837 0.500 Be
0.837 0.337 0.500 Be
0.337 0.163 0.500 Be
0.000 0.000 0.000 Zn
0.500 0.500 0.000 Zn
0.366 0.866 0.000 Al
0.866 0.634 0.000 Al
0.634 0.134 0.000 Al
0.134 0.366 0.000 Al
```

Values from the calculation:
Space-group type ... P4/mbm, No. 127
Calculated formation energy ... 310 meV/atom


12.
VASP calculation (PBE) on an optimized crystal structure of Dy2Tm3Al2.

```
Dy2Tm3Al2
1.0
5.226 -0.002 0.003
-2.615 4.518 -0.289
0.006 -2.519 7.910
Dy Tm Al
2 3 2
direct
0.918 0.835 0.253 Dy
0.082 0.165 0.747 Dy
0.500 0.000 0.000 Tm
0.652 0.304 0.456 Tm
0.348 0.696 0.544 Tm
0.782 0.564 0.845 Al
0.218 0.436 0.155 Al
```

Values from the calculation:
Space-group type ... C2/m, No. 12
Calculated formation energy ... -211 meV/atom


Number 1: calculated total energy -0.343 Ry per atom, V 468.7 Å³ per cell. Number 2: calculated total energy -0.464 Ry per atom, V 188.4 Å³ per cell. Number 3: calculated total energy -0.115 Ry per atom, V 210.9 Å³ per cell. Number 4: calculated total energy -0.385 Ry per atom, V 452.4 Å³ per cell. Number 5: calculated total energy -0.750 Ry per atom, V 57.9 Å³ per cell. Number 6: calculated total energy -0.269 Ry per atom, V 177.3 Å³ per cell. Number 7: calculated total energy -0.569 Ry per atom, V 251.3 Å³ per cell. Number 8: calculated total energy -0.478 Ry per atom, V 329.1 Å³ per cell. Number 9: calculated total energy -0.346 Ry per atom, V 100.6 Å³ per cell. Number 10: calculated total energy -0.251 Ry per atom, V 91.5 Å³ per cell. Number 11: calculated total energy -0.215 Ry per atom, V 141.0 Å³ per cell. Number 12: calculated total energy -0.332 Ry per atom, V 182.9 Å³ per cell.